Record 1
Below is an optimized crystal structure of Ba2LiNiGe, with properties calculated at the PBE level.

Results
Space group: P4/mmm
ΔH_f (0 K) in eV per formula unit: -0.83

a = 6.123 Å, b = 6.123 Å, c = 4.526 Å
α = 90.00°, β = 90.00°, γ = 90.00°
Atoms (fractional coordinates):
Ba 0.500 0.000 0.000
Ba 0.000 0.500 0.000
Ge 0.000 0.000 0.500
Ni 0.000 0.000 0.000
Li 0.500 0.500 0.500

---

Record 2
Below is an optimized crystal structure of Ba4LiGe4O12, with properties calculated at the PBE level.

Results
Space group: P1
Formation energy from raw total energies in eV per atom: -2.142
Relative energy among the computed polymorphs in meV per atom: 11

a = 4.733 Å, b = 5.962 Å, c = 12.991 Å
α = 88.25°, β = 89.66°, γ = 88.78°
Last column: magnetic moment on the atom in μB.
Atoms (fractional coordinates):
O 0.261 0.129 0.324  0.00
O 0.751 0.099 0.108  0.00
O 0.181 0.137 0.554  0.02
O 0.270 0.923 0.825  0.01
O 0.314 0.801 0.052  0.00
O 0.679 0.269 0.462  0.01
O 0.183 0.563 0.437  0.00
O 0.738 0.836 0.544  0.17
O 0.763 0.613 0.172  0.00
O 0.255 0.439 0.906  0.00
O 0.817 0.761 0.948  0.00
O 0.769 0.402 0.662  0.19
Ba 0.240 0.332 0.138  0.00
Ba 0.746 0.215 0.852  0.01
Ba 0.290 0.696 0.647  0.01
Ba 0.800 0.879 0.341  0.01
Ge 0.694 0.820 0.078  0.00
Ge 0.795 0.126 0.591  0.20
Ge 0.198 0.727 0.924  0.00
Ge 0.301 0.282 0.437  0.01
Li 0.828 0.536 0.519  0.01

---

Record 3
Below is an optimized crystal structure of Ba3LiGe2O6, with properties calculated at the PBE level.

Results
Space group: P-3m1
Formation energy from raw total energies in eV per atom: -2.113

a = 5.935 Å, b = 5.935 Å, c = 6.940 Å
α = 90.00°, β = 90.00°, γ = 120.00°
Last column: magnetic moment on the atom in μB.
Atoms (fractional coordinates):
O 0.175 0.350 0.302  0.08
O 0.825 0.650 0.698  0.08
O 0.350 0.175 0.698  0.08
O 0.825 0.175 0.698  0.08
O 0.175 0.825 0.302  0.08
O 0.650 0.825 0.302  0.08
Ge 0.667 0.333 0.818  0.10
Ge 0.333 0.667 0.182  0.10
Li 0.000 0.000 0.500  0.00
Ba 0.333 0.667 0.643  0.01
Ba 0.000 0.000 0.000  0.00
Ba 0.667 0.333 0.357  0.01

---

Record 4
Below is an optimized crystal structure of Ba2LiGeO4, with properties calculated at the PBE level.

Results
Space group: I-4
Formation energy from raw total energies in eV per atom: -1.928

a = 5.646 Å, b = 5.646 Å, c = 5.646 Å
α = 99.94°, β = 114.44°, γ = 114.44°
Last column: magnetic moment on the atom in μB.
Atoms (fractional coordinates):
O 0.928 0.489 0.153  0.00
O 0.336 0.847 0.775  0.00
O 0.072 0.225 0.561  0.00
O 0.664 0.439 0.511  0.00
Li 0.500 0.250 0.750  0.01
Ba 0.500 0.750 0.250  0.16
Ba 0.000 0.000 0.000  0.20
Ge 0.000 0.500 0.500  0.01